Re9Ni4: relaxed, GGA-PBE.

The structure in POSCAR format:
```
Re9Ni4
1.0
2.523 1.457 8.742
-2.523 1.457 8.742
0.000 -2.913 8.742
Re Ni
9 4
Cartesian
0.000 0.000 21.948
1.231 0.711 6.667
0.000 0.000 4.279
-1.231 -0.711 19.560
0.000 -1.422 6.667
0.000 1.422 19.560
-1.231 0.711 6.667
1.231 -0.711 19.560
0.000 0.000 0.000
0.000 0.000 9.321
0.000 0.000 16.906
0.000 0.000 11.863
0.000 0.000 14.365
```

## Properties
The calculation puts the formation energy from the elements at 0.37 eV per atom. As for the symmetry: R-3m (166). The total moment comes out at 0.0 μB/f.u. Its crystal system is trigonal.